VASP calculation (GGA-PBEsol) on a geometry-optimized MnCr2Fe structure.

ρ = 8.2 g/cm³
calculated total energy = -38.870 eV per cell
calculated formation energy = 0.3 eV per formula unit
D(E_F) = 1.028 states/eV/atom
space-group type = Immm

Lattice parameters (Å, degrees): 2.8363 3.9066 4.5906 115.18 107.99 90.00
Atoms (fractional coordinates):
Fe 0.5000 0.0000 0.0000
Cr 0.7468 0.7468 0.4935
Cr 0.2532 0.2532 0.5065
Mn 0.0000 0.5000 0.0000